Entry from the Alexandria database: MgCuSb2 after structural relaxation (PBE).

Cell lengths 3.4224, 3.4224, 7.4748 Å; angles 90.00, 90.00, 90.00 degrees
With the nearest neighbours (Å) after each atom.
Space group P4/mmm (No. 123)
Inequivalent atoms, fractional coordinates:
Mg: 0.0000 0.0000 0.0000 (multiplicity 1)  8 Sb 3.21, 4 Mg 3.42
Cu: 0.0000 0.0000 0.5000 (multiplicity 1)  8 Sb 2.92
Sb: 0.5000 0.5000 0.2815 (multiplicity 2)  4 Cu 2.92, 4 Mg 3.21, 1 Sb 3.27

Entry from the Alexandria database: MgCuSb2 after structural relaxation (PBE).

Cell lengths 7.1157, 7.1157, 7.1157 Å; angles 90.00, 90.00, 90.00 degrees
With the nearest neighbours (Å) after each atom.
Space group F-43m (No. 216)
Inequivalent atoms, fractional coordinates:
Mg: 0.0000 0.0000 0.0000 (multiplicity 4)  4 Cu 3.08, 4 Sb 3.08
Cu: 0.2500 0.2500 0.2500 (multiplicity 4)  4 Sb 3.08, 4 Mg 3.08
Sb: 0.0000 0.0000 0.5000 (multiplicity 4)  4 Sb 3.08, 4 Cu 3.08
Sb: 0.2500 0.2500 0.7500 (multiplicity 4)  4 Sb 3.08, 4 Mg 3.08

Entry from the Alexandria database: MgCuSb2 after structural relaxation (PBE).

Cell lengths 8.2397, 3.8131, 5.9736 Å; angles 90.00, 104.89, 90.00 degrees
With the nearest neighbours (Å) after each atom.
Space group C2/m (No. 12)
Inequivalent atoms, fractional coordinates:
Mg: 0.0000 0.0000 0.0000 (multiplicity 2)  6 Sb 2.97-3.02
Cu: 0.0000 0.5000 0.5000 (multiplicity 2)  6 Sb 2.72-2.83
Sb: 0.2453 0.0000 0.7129 (multiplicity 4)  3 Cu 2.72-2.83, 3 Mg 2.97-3.02

Entry from the Alexandria database: Mg3CuSb after structural relaxation (PBE).

Results
For the excess energy over the best structure of this formula in the dataset, the calculation gives 0 meV/atom.

Cell lengths 4.8921, 4.8921, 4.8921 Å; angles 90.00, 90.00, 90.00 degrees
With the nearest neighbours (Å) after each atom.
Space group Pm-3m (No. 221)
Inequivalent atoms, fractional coordinates:
Mg: 0.0000 0.0000 0.5000 (multiplicity 3)  2 Cu 2.45
Cu: 0.0000 0.0000 0.0000 (multiplicity 1)  6 Mg 2.45
Sb: 0.5000 0.5000 0.5000 (multiplicity 1)  12 Mg 3.46

Entry from the Alexandria database: MgCuSb2 after structural relaxation (PBE).

Cell lengths 3.7901, 3.9585, 12.2427 Å; angles 90.00, 90.00, 90.00 degrees
With the nearest neighbours (Å) after each atom.
Space group Imm2 (No. 44)
Inequivalent atoms, fractional coordinates:
Mg: 0.0000 0.0000 0.0000 (multiplicity 2)  6 Sb 2.99-3.06, 2 Cu 3.34
Cu: 0.0000 0.5000 0.2754 (multiplicity 2)  6 Sb 2.76-2.79
Sb: 0.0000 0.0000 0.6116 (multiplicity 2)  2 Cu 2.76, 4 Mg 3.06
Sb: 0.0000 0.5000 0.8171 (multiplicity 2)  4 Cu 2.79, 2 Mg 2.99

Entry from the Alexandria database: MgCuSb2 after structural relaxation (PBE).

Cell lengths 8.8542, 3.6821, 6.3955 Å; angles 90.00, 113.72, 90.00 degrees
With the nearest neighbours (Å) after each atom.
Space group Cm (No. 8)
Inequivalent atoms, fractional coordinates:
Mg: 0.0000 0.0000 0.0000 (multiplicity 2)  5 Sb 2.74-2.98, 3 Cu 2.83-2.84
Cu: 0.2645 0.5000 0.1958 (multiplicity 2)  5 Sb 2.81-3.02, 3 Mg 2.83-2.84
Sb: 0.0251 0.5000 0.3796 (multiplicity 2)  3 Cu 2.81, 2 Mg 2.98
Sb: 0.2229 0.0000 0.8028 (multiplicity 2)  3 Mg 2.74-2.92, 2 Cu 3.02

Entry from the Alexandria database: MgCuSb2 after structural relaxation (PBE).

Cell lengths 4.0785, 4.2812, 5.0110 Å; angles 90.00, 90.00, 90.00 degrees
With the nearest neighbours (Å) after each atom.
Space group Pmmm (No. 47)
Inequivalent atoms, fractional coordinates:
Mg: 0.0000 0.0000 0.0000 (multiplicity 1)  8 Sb 2.96-3.23, 4 Cu 3.30
Cu: 0.0000 0.5000 0.5000 (multiplicity 1)  8 Sb 2.96-3.23, 4 Mg 3.30
Sb: 0.5000 0.0000 0.5000 (multiplicity 1)  4 Cu 2.96, 4 Mg 3.23, 4 Sb 3.30
Sb: 0.5000 0.5000 0.0000 (multiplicity 1)  4 Mg 2.96, 4 Cu 3.23, 4 Sb 3.30

Entry from the Alexandria database: MgCu2Sb after structural relaxation (PBE).

Cell lengths 6.5564, 6.5564, 6.5564 Å; angles 90.00, 90.00, 90.00 degrees
With the nearest neighbours (Å) after each atom.
Space group F-43m (No. 216)
Inequivalent atoms, fractional coordinates:
Mg: 0.0000 0.0000 0.0000 (multiplicity 4)  4 Cu 2.84, 4 Sb 2.84
Cu: 0.0000 0.0000 0.5000 (multiplicity 4)  4 Sb 2.84, 4 Cu 2.84
Cu: 0.2500 0.2500 0.7500 (multiplicity 4)  4 Mg 2.84, 4 Cu 2.84
Sb: 0.2500 0.2500 0.2500 (multiplicity 4)  4 Mg 2.84, 4 Cu 2.84

Entry from the Alexandria database: Mg2CuSb2 after structural relaxation (PBE).

Results
For the excess energy over the best structure of this formula in the dataset, the calculation gives 0 meV/atom.

Cell lengths 7.3582, 7.3582, 4.3226 Å; angles 90.00, 90.00, 90.00 degrees
With the nearest neighbours (Å) after each atom.
Space group P4/mbm (No. 127)
Inequivalent atoms, fractional coordinates:
Mg: 0.1481 0.3519 0.0000 (multiplicity 4)  6 Sb 2.91-3.16, 1 Mg 3.08
Cu: 0.0000 0.0000 0.5000 (multiplicity 2)  4 Sb 2.75
Sb: 0.1651 0.6651 0.5000 (multiplicity 4)  2 Cu 2.75, 2 Mg 2.91

Entry from the Alexandria database: MgCuSb2 after structural relaxation (PBE).

Cell lengths 3.4349, 3.4349, 8.0062 Å; angles 90.00, 90.00, 90.00 degrees
With the nearest neighbours (Å) after each atom.
Space group P4mm (No. 99)
Inequivalent atoms, fractional coordinates:
Mg: 0.0000 0.0000 0.0000 (multiplicity 1)  4 Cu 2.79, 5 Sb 2.88-2.97
Cu: 0.5000 0.5000 0.8288 (multiplicity 1)  4 Mg 2.79, 5 Sb 2.86-3.09
Sb: 0.0000 0.0000 0.6404 (multiplicity 1)  4 Cu 2.86, 1 Mg 2.88
Sb: 0.5000 0.5000 0.2142 (multiplicity 1)  4 Mg 2.97, 1 Cu 3.09

Entry from the Alexandria database: MgCuSb2 after structural relaxation (PBE).

Cell lengths 4.1483, 5.1798, 8.2302 Å; angles 90.00, 90.00, 90.00 degrees
With the nearest neighbours (Å) after each atom.
Space group Cmmm (No. 65)
Inequivalent atoms, fractional coordinates:
Mg: 0.0000 0.0000 0.0000 (multiplicity 2)  4 Sb 3.07, 4 Mg 3.32
Cu: 0.0000 0.0000 0.5000 (multiplicity 2)  4 Sb 2.78
Sb: 0.0000 0.5000 0.2753 (multiplicity 4)  2 Cu 2.78, 2 Mg 3.07

Entry from the Alexandria database: MgCu2Sb after structural relaxation (PBE).

Cell lengths 4.0256, 4.0299, 8.3996 Å; angles 90.00, 90.00, 90.00 degrees
With the nearest neighbours (Å) after each atom.
Space group Imm2 (No. 44)
Inequivalent atoms, fractional coordinates:
Mg: 0.0000 0.0000 0.0000 (multiplicity 2)  8 Cu 2.85-2.91, 4 Sb 2.91
Cu: 0.0000 0.0000 0.5017 (multiplicity 2)  4 Mg 2.85, 4 Cu 2.89-2.92, 4 Sb 2.90-2.92
Cu: 0.0000 0.5000 0.2493 (multiplicity 2)  4 Sb 2.85, 4 Cu 2.89-2.92, 4 Mg 2.91
Sb: 0.0000 0.5000 0.7504 (multiplicity 2)  8 Cu 2.85-2.92, 4 Mg 2.91

Entry from the Alexandria database: MgCu2Sb2 after structural relaxation (PBE).

Results
For the excess energy over the best structure of this formula in the dataset, the calculation gives 179 meV/atom.

Cell lengths 4.5025, 4.5025, 10.7908 Å; angles 90.00, 90.00, 90.00 degrees
With the nearest neighbours (Å) after each atom.
Space group I4/mmm (No. 139)
Inequivalent atoms, fractional coordinates:
Mg: 0.0000 0.0000 0.0000 (multiplicity 2)  8 Cu 3.40, 8 Sb 3.51
Cu: 0.0000 0.0000 0.3904 (multiplicity 4)  1 Cu 2.37
Sb: 0.0000 0.5000 0.2500 (multiplicity 4)  4 Cu 2.71

Entry from the Alexandria database: Mg14CuSb after structural relaxation (PBE).

Results
For the excess energy over the best structure of this formula in the dataset, the calculation gives 0 meV/atom.

Cell lengths 6.3176, 6.3176, 10.1547 Å; angles 90.00, 90.00, 120.00 degrees
With the nearest neighbours (Å) after each atom.
Space group P-6m2 (No. 187)
Inequivalent atoms, fractional coordinates:
Mg: 0.0000 0.0000 0.2470 (multiplicity 2)  12 Mg 3.11-3.16
Mg: 0.0038 0.5019 0.2600 (multiplicity 6)  1 Cu 3.03, 10 Mg 3.06-3.21, 1 Sb 3.20
Mg: 0.3289 0.1645 0.5000 (multiplicity 3)  10 Mg 3.06-3.20, 2 Cu 3.16
Mg: 0.3356 0.1678 0.0000 (multiplicity 3)  10 Mg 3.11-3.21, 2 Sb 3.16
Cu: 0.3333 0.6667 0.5000 (multiplicity 1)  12 Mg 3.03-3.16
Sb: 0.3333 0.6667 0.0000 (multiplicity 1)  12 Mg 3.16-3.20

Entry from the Alexandria database: MgCu2Sb after structural relaxation (PBE).

Cell lengths 3.1679, 3.5255, 6.3563 Å; angles 90.00, 90.00, 90.00 degrees
With the nearest neighbours (Å) after each atom.
Space group Pmm2 (No. 25)
Inequivalent atoms, fractional coordinates:
Mg: 0.0000 0.0000 0.0000 (multiplicity 1)  5 Cu 2.60-2.83
Cu: 0.0000 0.0000 0.5904 (multiplicity 1)  4 Cu 2.59, 1 Mg 2.60
Cu: 0.5000 0.5000 0.7554 (multiplicity 1)  4 Cu 2.59, 1 Sb 2.74, 4 Mg 2.83
Sb: 0.5000 0.5000 0.3239 (multiplicity 1)  5 Cu 2.74-2.91

Entry from the Alexandria database: MgCu2Sb after structural relaxation (PBE).

Cell lengths 8.4197, 3.2519, 5.4469 Å; angles 90.00, 100.68, 90.00 degrees
With the nearest neighbours (Å) after each atom.
Space group Cm (No. 8)
Inequivalent atoms, fractional coordinates:
Mg: 0.0000 0.0000 0.0000 (multiplicity 2)  5 Cu 2.72-2.76, 1 Sb 2.96
Cu: 0.2448 0.5000 0.2422 (multiplicity 2)  3 Cu 2.54-2.58, 3 Mg 2.72-2.76, 2 Sb 2.77
Cu: 0.4797 0.0000 0.3996 (multiplicity 2)  3 Cu 2.54-2.58, 3 Sb 2.71-2.80, 2 Mg 2.75
Sb: 0.2292 0.0000 0.6492 (multiplicity 2)  5 Cu 2.71-2.80, 1 Mg 2.96

Entry from the Alexandria database: MgCu2Sb after structural relaxation (PBE).

Cell lengths 4.1315, 4.1315, 3.9516 Å; angles 90.00, 90.00, 90.00 degrees
With the nearest neighbours (Å) after each atom.
Space group P4/mmm (No. 123)
Inequivalent atoms, fractional coordinates:
Mg: 0.0000 0.0000 0.0000 (multiplicity 1)  8 Cu 2.86, 4 Sb 2.92
Cu: 0.0000 0.5000 0.5000 (multiplicity 2)  4 Sb 2.86, 4 Mg 2.86, 4 Cu 2.92
Sb: 0.5000 0.5000 0.0000 (multiplicity 1)  8 Cu 2.86, 4 Mg 2.92

Entry from the Alexandria database: MgCu2Sb2 after structural relaxation (PBE).

Results
For the excess energy over the best structure of this formula in the dataset, the calculation gives 0 meV/atom.

Cell lengths 7.2001, 7.2001, 3.7555 Å; angles 90.00, 90.00, 90.00 degrees
With the nearest neighbours (Å) after each atom.
Space group P4/mbm (No. 127)
Inequivalent atoms, fractional coordinates:
Mg: 0.0000 0.0000 0.0000 (multiplicity 2)  4 Cu 2.86
Cu: 0.1222 0.3778 0.0000 (multiplicity 4)  1 Cu 2.49, 2 Sb 2.76
Sb: 0.1785 0.6785 0.5000 (multiplicity 4)  6 Cu 2.76-2.89

Entry from the Alexandria database: Mg4CuSb after structural relaxation (PBE).

Cell lengths 8.0798, 8.0798, 8.0798 Å; angles 90.00, 90.00, 90.00 degrees
With the nearest neighbours (Å) after each atom.
Space group F-43m (No. 216)
Inequivalent atoms, fractional coordinates:
Mg: 0.1252 0.1252 0.1252 (multiplicity 16)  6 Mg 2.85-2.86
Cu: 0.0000 0.0000 0.5000 (multiplicity 4)  12 Mg 3.35, 4 Sb 3.50
Sb: 0.2500 0.2500 0.7500 (multiplicity 4)  12 Mg 3.35, 4 Cu 3.50

Entry from the Alexandria database: Mg2Cu2Sb after structural relaxation (PBE).

Results
For the excess energy over the best structure of this formula in the dataset, the calculation gives 0 meV/atom.

Cell lengths 6.7160, 6.7160, 4.0779 Å; angles 90.00, 90.00, 90.00 degrees
With the nearest neighbours (Å) after each atom.
Space group P4/mbm (No. 127)
Inequivalent atoms, fractional coordinates:
Mg: 0.1626 0.3374 0.0000 (multiplicity 4)  6 Cu 2.83-2.85, 1 Mg 3.09
Cu: 0.1277 0.6277 0.5000 (multiplicity 4)  1 Cu 2.43, 2 Sb 2.64
Sb: 0.0000 0.0000 0.5000 (multiplicity 2)  4 Cu 2.64

| no. | E_tot (Ry per atom) | total magnetic moment (μB/atom) | V (A^3/atom) |
| --- | --- | --- | --- |
| 1 | -0.2484 | 0.0000 | 21.89 |
| 2 | -0.2386 | 0.0000 | 22.52 |
| 3 | -0.2547 | 0.0000 | 22.67 |
| 4 | -0.1859 | 0.0000 | 23.42 |
| 5 | -0.2522 | 0.0000 | 22.96 |
| 6 | -0.2562 | 0.0000 | 23.86 |
| 7 | -0.2494 | 0.0000 | 21.87 |
| 8 | -0.2464 | 0.0000 | 17.62 |
| 9 | -0.2284 | 0.0000 | 23.40 |
| 10 | -0.2553 | 0.0000 | 23.61 |
| 11 | -0.2496 | 0.0000 | 22.11 |
| 12 | -0.2546 | 0.0000 | 17.03 |
| 13 | -0.2499 | 0.0000 | 21.88 |
| 14 | -0.1415 | 0.0000 | 21.94 |
| 15 | -0.2523 | 0.0000 | 17.75 |
| 16 | -0.2527 | 0.0000 | 18.32 |
| 17 | -0.2575 | 0.0000 | 16.86 |
| 18 | -0.2631 | 0.0000 | 19.47 |
| 19 | -0.1625 | 0.0000 | 21.98 |
| 20 | -0.2366 | 0.0000 | 18.39 |